NaP2H6Se: relaxed, PBE.

POSCAR file:
```
NaP2H6Se
1.0
6.4004 -0.3078 0.6808
-1.0891 6.3146 0.6808
-0.7897 -0.8931 6.8768
P H Na Se
4 12 2 2
direct
0.7164 0.7884 0.2504
0.2836 0.2116 0.7496
0.7884 0.7164 0.7504
0.2116 0.2836 0.2496
0.7421 0.5661 0.5973
0.0246 0.6955 0.7503
0.3045 0.9754 0.7497
0.4331 0.2570 0.5966
0.4339 0.2579 0.9027
0.5661 0.7421 0.0973
0.2579 0.4339 0.4027
0.9754 0.3045 0.2497
0.7430 0.5669 0.9034
0.5669 0.7430 0.4034
0.2570 0.4331 0.0966
0.6955 0.0246 0.2503
0.7978 0.2022 0.7500
0.2022 0.7978 0.2500
0.3280 0.6720 0.7500
0.6720 0.3280 0.2500
```

Values from the calculation:
Total magnetization = 0.0 μB/cell
Energy = -3.62 eV/atom

=====

HAu3O: relaxed, PBE.

POSCAR file:
```
HAu3O
1.0
4.0966 0.0000 0.0000
0.0000 4.0966 0.0000
0.0000 0.0000 4.0966
H Au O
1 3 1
direct
0.0000 0.0000 0.0000
0.0000 0.5000 0.0000
0.0000 0.0000 0.5000
0.5000 0.0000 0.0000
0.5000 0.5000 0.5000
```

Values from the calculation:
Total magnetization = 0.0 μB/cell
Polymorph energy (0 for the lowest one) = 0 meV per atom

=====

La6Sm12Sc: relaxed, PBE.

POSCAR file:
```
La6Sm12Sc
1.0
-0.8649 -5.7951 -6.4226
2.0528 -6.4203 5.4906
-8.4004 -0.9971 2.0051
Sm La Sc
12 6 1
direct
0.8186 0.6401 0.9767
0.6401 0.9767 0.8186
0.5602 0.2186 0.4684
0.2186 0.4684 0.5602
0.4398 0.7814 0.5316
0.9767 0.8186 0.6401
0.4684 0.5602 0.2186
0.5316 0.4398 0.7814
0.0233 0.1814 0.3599
0.1814 0.3599 0.0233
0.7814 0.5316 0.4398
0.3599 0.0233 0.1814
0.0930 0.7028 0.2649
0.7028 0.2649 0.0930
0.2972 0.7351 0.9070
0.9070 0.2972 0.7351
0.2649 0.0930 0.7028
0.7351 0.9070 0.2972
0.0000 0.0000 0.0000
```

Values from the calculation:
Total magnetization = 0.0 μB/cell
Formation energy = 126 meV/atom

=====

Which value of total magnetization does entry 1 give? 0.0 μB/cell